This record from Alexandria describes a geometry-optimized OsRh2Se structure. The functional is GGA-PBE.

```
OsRh2Se
1.0
3.988 0.000 0.000
0.000 2.894 0.000
0.000 1.444 5.186
Os Rh Se
1 2 1
direct
0.500 0.555 0.765
0.000 0.944 0.987
0.500 0.298 0.277
0.000 0.703 0.472
```

Computed properties:
For the mass density, the calculation gives 13.18 g cm⁻³. Its symmetry is No. 38. Its formation energy from raw total energies is 0.274 eV/atom. As for the density of states at the Fermi level: 1.43 states/eV/atom. The calculation puts the volume at 59.8 Å³/f.u.